Record 1
CaBi2OsCl | PBE | relaxed

Unit cell a=5.8577 b=5.1421 c=5.8577 alpha=90.00 beta=90.00 gamma=90.00
With the nearest neighbours (Å) after each atom.
Sites, in units of the cell vectors:
Bi 0.5000 0.0000 0.0000  2 Ca 2.93
Cl 0.5000 0.5000 0.5000  8 Bi 3.90, 4 Os 4.14
Bi 0.0000 0.0000 0.5000  2 Ca 2.93
Ca 0.0000 0.0000 0.0000  2 Os 2.57
Os 0.0000 0.5000 0.0000  2 Ca 2.57

Output
DOS at the Fermi energy = 6.151 states/eV per cell
ΔE_f (raw) = 1.411 eV per atom


Record 2
Ca5Bi2PCl | PBE | relaxed

Unit cell a=4.5047 b=9.4800 c=13.2945 alpha=90.00 beta=90.00 gamma=103.74
With the nearest neighbours (Å) after each atom.
Sites, in units of the cell vectors:
Ca 0.6402 0.2804 0.5008  1 P 2.81, 1 Cl 3.05
P 0.7928 0.5855 0.5044  6 Ca 2.76-2.98
Ca 0.3598 0.7196 0.0008  1 P 2.81, 1 Cl 3.05
Cl 0.5244 0.0487 0.9730  3 Ca 2.70-2.71
Ca 0.5054 0.0109 0.2736  1 Cl 2.71
Ca 0.6919 0.3839 0.8666  2 P 2.92
Ca 0.3081 0.6161 0.3666  2 P 2.92
Bi 0.8947 0.7893 0.1884  6 Ca 3.24-3.51
Ca 0.2793 0.5586 0.6496  2 P 2.98, 1 Bi 3.24
P 0.2072 0.4145 0.0044  6 Ca 2.76-2.98
Ca 0.9351 0.8703 0.5693  2 Cl 2.70, 1 P 2.76
Bi 0.8667 0.7335 0.7983  8 Ca 3.27-3.51
Cl 0.4756 0.9513 0.4730  3 Ca 2.70-2.71
Ca 0.4946 0.9891 0.7736  1 Cl 2.71
Ca 0.7207 0.4414 0.1496  2 P 2.98, 1 Bi 3.24
Ca 0.0649 0.1297 0.0693  2 Cl 2.70, 1 P 2.76
Bi 0.1333 0.2665 0.2983  8 Ca 3.27-3.51
Bi 0.1053 0.2107 0.6884  6 Ca 3.24-3.51

Output
DOS at the Fermi energy = 0.274 states/eV per cell
ΔE_f (raw) = -1.161 eV per atom


Record 3
CaBiPCl2 | PBE | relaxed

Unit cell a=4.9821 b=4.9821 c=6.0334 alpha=90.00 beta=90.00 gamma=90.00
With the nearest neighbours (Å) after each atom.
Sites, in units of the cell vectors:
Cl 0.5000 0.0000 0.0000  2 Ca 2.49
Cl 0.0000 0.5000 0.0000  2 Ca 2.49
P 0.0000 0.0000 0.5000  2 Ca 3.02
Bi 0.5000 0.5000 0.5000  4 P 3.52, 8 Cl 3.91
Ca 0.0000 0.0000 0.0000  4 Cl 2.49

Output
DOS at the Fermi energy = 3.329 states/eV per cell
ΔE_f (raw) = -0.527 eV per atom
ΔE to the lowest computed polymorph = 0.0 meV per atom